Crystalline GeH2SI2 at its relaxed geometry, computed with GGA-PBE.

```
GeH2SI2
1.0
-3.6628 -7.8223 2.1414
5.2295 -2.1986 0.9137
-2.9906 3.3405 7.0869
Ge H S I
2 4 2 4
Cartesian
3.5845 -5.1451 1.7072
-3.0331 -7.0441 1.9416
0.1074 -6.9754 3.1025
-2.7896 -4.1932 8.3103
1.2342 -2.7680 1.9087
-1.6628 0.0142 7.1164
-0.4006 -7.9995 2.3566
1.0704 -3.9368 1.2229
-0.1062 -0.2263 2.2518
2.3328 -0.2773 6.2370
-0.1321 -3.9222 7.1971
-2.5711 -3.8711 3.2119
```

Values from the calculation:
The total energy is -3.3013 eV per atom. The spin magnetization comes out at 0.0 μB per formula unit. Its density is 3.0 g cm⁻³. The calculated volume is 33.57 Å³/atom.

---

Crystalline YErSc2 at its relaxed geometry, computed with GGA-PBE.

```
YErSc2
1.0
-3.8363 1.0903 -3.6471
-5.0853 0.8751 1.6066
-2.1116 4.9659 -0.2986
Y Sc Er
1 2 1
Cartesian
-5.5166 3.4656 -1.1695
-2.7583 1.7328 -0.5848
-8.2749 5.1984 -1.7543
0.0000 0.0000 0.0000
```

Values from the calculation:
The total energy is -5.8246 eV per atom. The spin magnetization comes out at 0.0 μB per formula unit. Its energy of formation from the pure elements is 38 kJ/mol of formula units. Its density is 5.1 g cm⁻³. The polymorph energy (0 for the lowest one) is 46 meV per atom. The calculated volume is 27.90 Å³/atom.

---

Crystalline K2Cd4PbAu3 at its relaxed geometry, computed with GGA-PBE.

```
K2Cd4PbAu3
1.0
4.7631 0.0000 0.0000
0.0000 4.7631 0.0000
0.0000 0.0000 12.2400
K Cd Pb Au
2 4 1 3
Cartesian
2.3815 0.0000 2.9696
0.0000 2.3815 9.2704
2.3815 2.3815 0.0000
0.0000 0.0000 0.0000
2.3815 0.0000 7.8931
0.0000 2.3815 4.3469
2.3815 2.3815 6.1200
0.0000 0.0000 6.1200
2.3815 0.0000 10.6386
0.0000 2.3815 1.6014
```

Values from the calculation:
The total energy is -2.1362 eV per atom. The spin magnetization comes out at 0.0 μB per formula unit. Its energy of formation from the pure elements is -190 kJ/mol of formula units. Its density is 7.9 g cm⁻³. The calculated volume is 27.77 Å³/atom.

---

Crystalline Ca2AgPbO4 at its relaxed geometry, computed with GGA-PBE.

```
Ca2AgPbO4
1.0
-3.4769 0.5289 0.4283
-0.4184 -5.1899 3.0127
1.1244 4.2128 3.9254
Ca Ag Pb O
2 1 1 4
Cartesian
-1.1762 2.3708 2.1769
0.3530 -0.4886 3.4690
0.0000 0.0000 0.0000
-1.9476 -2.3305 1.7205
-1.5469 -0.0300 2.1331
-1.2240 -0.4182 5.2333
0.7242 1.8137 3.6396
-0.0182 -2.7908 3.2985
```

Values from the calculation:
The total energy is -5.4887 eV per atom. The spin magnetization comes out at 0.4 μB per formula unit. Its density is 6.4 g cm⁻³. The value obtained for the formation energy (no corrections) is -1.689 eV/atom. The calculated volume is 14.92 Å³/atom.

---

Crystalline PrDy4Ho3 at its relaxed geometry, computed with GGA-PBE.

```
PrDy4Ho3
1.0
-3.4613 -5.2430 0.0364
3.6350 -2.4401 -5.8118
7.5520 -4.9383 6.7969
Pr Dy Ho
2 8 6
Cartesian
0.8522 -1.6845 -2.1708
3.8104 -7.3880 -0.2136
2.6731 -2.9076 -5.0827
-1.7951 -3.7047 -0.6972
-1.0410 -6.6934 1.0284
3.3893 -5.8847 -3.3884
6.4450 -5.3872 -1.6872
1.9888 -6.1660 2.6982
7.1983 -8.3754 0.0396
2.7021 -9.1410 4.3972
0.0347 -4.9222 -3.6148
0.7687 -7.9066 -1.9023
1.5814 -4.6689 -0.4578
4.6250 -4.1547 1.2304
5.3593 -7.1393 2.9424
4.5428 -10.3745 1.4944
```

Values from the calculation:
The total energy is -4.6033 eV per atom. The spin magnetization comes out at 0.0 μB per formula unit. Its energy of formation from the pure elements is 9 kJ/mol of formula units. Its density is 8.3 g cm⁻³. The polymorph energy (0 for the lowest one) is 0 meV per atom. The calculated volume is 32.28 Å³/atom.

---

Crystalline Zn2CdIr at its relaxed geometry, computed with GGA-PBE.

```
Zn2CdIr
1.0
4.7528 0.0033 0.0063
3.7951 2.8611 0.0063
1.0125 0.3393 4.7761
Cd Ir Zn
1 1 2
Cartesian
7.1703 2.4028 3.5916
2.3901 0.8009 1.1972
8.4739 2.8396 0.1848
4.8542 1.6266 2.2223
```

Values from the calculation:
The total energy is -3.1055 eV per atom. The spin magnetization comes out at 0.0 μB per formula unit. Its energy of formation from the pure elements is -9 kJ/mol of formula units. Its density is 11.1 g cm⁻³. The calculated volume is 16.22 Å³/atom.

---

Crystalline MgSF6 at its relaxed geometry, computed with GGA-PBE.

```
MgSF6
1.0
5.1174 0.0065 0.0065
2.5531 4.4352 0.0096
2.5509 1.4743 4.4976
Mg S F
1 1 6
Cartesian
5.1107 2.9580 2.2568
0.0000 0.0000 0.0000
3.4792 2.6825 3.4219
6.1608 1.6815 3.4244
4.5342 1.4117 1.0854
4.0607 4.2346 1.0892
6.7422 3.2336 1.0918
5.6872 4.5044 3.4283
```

Values from the calculation:
The total energy is -4.2423 eV per atom. The spin magnetization comes out at 0.0 μB per formula unit. Its density is 2.8 g cm⁻³. The value obtained for the formation energy (no corrections) is -2.124 eV/atom. The calculated volume is 12.74 Å³/atom.

---

Crystalline BaPtW2 at its relaxed geometry, computed with GGA-PBE.

```
BaPtW2
1.0
-4.3861 -3.3988 -2.0431
5.7044 -0.9731 -1.2153
0.2075 -1.6457 2.2920
W Pt Ba
2 1 1
Cartesian
0.0000 0.0000 0.0000
0.6591 -2.1860 -1.6292
2.9560 -1.3094 0.5384
-2.0893 -2.5222 0.1244
```

Values from the calculation:
The total energy is -7.1870 eV per atom. The spin magnetization comes out at 0.0 μB per formula unit. Its energy of formation from the pure elements is 494 kJ/mol of formula units. Its density is 14.1 g cm⁻³. The polymorph energy (0 for the lowest one) is 854 meV per atom. The calculated volume is 20.65 Å³/atom.

---

no.,Fermi-level density of states (states/eV per atom)
1,0.000
2,1.778
3,0.434
4,0.761
5,1.609
6,0.478
7,0.000
8,0.998